1.
An optimized crystal structure of TiCdBi2, computed with PBE-GGA.

Cell: 3.892 3.892 6.592 Å, 90.00 90.00 90.00°
Positions (direct):
1 Bi 0.000 0.000 0.231
2 Bi 0.000 0.000 0.769
3 Cd 0.500 0.500 0.500
4 Ti 0.500 0.500 0.000

## Properties
Theoretical density: 9.62 g cm⁻³
E_form: 0.03 eV per atom
V: 100 Å³ per cell
Calculated total energy: -4.115 eV per atom



2.
An optimized crystal structure of BaMg4Be, computed with PBE-GGA.

Cell: 6.097 6.097 6.097 Å, 60.00 60.00 60.00°
Positions (direct):
1 Mg 0.879 0.374 0.374
2 Mg 0.374 0.374 0.374
3 Mg 0.374 0.879 0.374
4 Mg 0.374 0.374 0.879
5 Ba 0.750 0.750 0.750
6 Be 0.000 0.000 0.000

## Properties
Theoretical density: 2.52 g cm⁻³
E_form: 0.36 eV per atom
V: 160 Å³ per cell
Calculated total energy: -1.641 eV per atom



3.
An optimized crystal structure of Sm2Y3Mg, computed with PBE-GGA.

Cell: 6.747 6.749 9.377 Å, 104.36 104.25 68.55°
Positions (direct):
1 Y 0.251 0.749 0.000
2 Y 0.087 0.090 0.365
3 Y 0.749 0.251 0.000
4 Y 0.913 0.910 0.635
5 Y 0.077 0.569 0.289
6 Y 0.923 0.431 0.711
7 Sm 0.433 0.924 0.713
8 Sm 0.567 0.076 0.287
9 Sm 0.403 0.405 0.631
10 Sm 0.597 0.595 0.369
11 Mg 0.244 0.251 0.996
12 Mg 0.756 0.749 0.004

## Properties
Theoretical density: 5.18 g cm⁻³
E_form: 0.00 eV per atom
Distance to the lowest polymorph of the same formula: 0.11 eV per formula unit
V: 379 Å³ per cell
Calculated total energy: -5.076 eV per atom



4.
An optimized crystal structure of La2ErSb3Ir4, computed with PBE-GGA.

Cell: 4.383 4.383 11.660 Å, 90.00 90.00 90.00°
Positions (direct):
1 Er 0.500 0.500 0.500
2 Ir 0.500 0.500 0.000
3 Ir 0.000 0.500 0.354
4 Ir 0.000 0.000 0.000
5 Ir 0.500 0.000 0.646
6 La 0.000 0.500 0.764
7 La 0.500 0.000 0.236
8 Sb 0.000 0.500 0.131
9 Sb 0.500 0.000 0.869
10 Sb 0.000 0.000 0.500

## Properties
Theoretical density: 11.71 g cm⁻³
Raw formation energy: -742 meV/atom
V: 224 Å³ per cell
Calculated total energy: -6.965 eV per atom



5.
An optimized crystal structure of CaY2Ga, computed with PBE-GGA.

Cell: 3.591 3.591 9.305 Å, 90.00 90.00 90.00°
Positions (direct):
1 Ca 0.500 0.500 0.500
2 Ga 0.500 0.500 0.000
3 Y 0.000 0.000 0.811
4 Y 0.000 0.000 0.189

## Properties
Theoretical density: 3.98 g cm⁻³
E_form: -0.25 eV per atom
V: 120 Å³ per cell
Calculated total energy: -4.742 eV per atom



6.
An optimized crystal structure of TiVTcMo, computed with PBE-GGA.

Cell: 4.371 4.371 4.371 Å, 60.00 60.00 60.00°
Positions (direct):
1 V 0.250 0.250 0.250
2 Mo 0.000 0.000 0.000
3 Tc 0.500 0.500 0.500
4 Ti 0.750 0.750 0.750

## Properties
Theoretical density: 8.23 g cm⁻³
E_form: -0.27 eV per atom
Distance to the lowest polymorph of the same formula: 0.00 eV per formula unit
V: 59 Å³ per cell
Calculated total energy: -9.823 eV per atom



7.
An optimized crystal structure of SrTm3Ni, computed with PBE-GGA.

Cell: 5.355 5.355 5.355 Å, 90.00 90.00 90.00°
Positions (direct):
1 Ni 0.000 0.000 0.000
2 Tm 0.000 0.500 0.000
3 Tm 0.000 0.000 0.500
4 Tm 0.500 0.000 0.000
5 Sr 0.500 0.500 0.500

## Properties
Theoretical density: 7.06 g cm⁻³
E_form: -0.06 eV per atom
V: 154 Å³ per cell
Calculated total energy: -4.240 eV per atom



8.
An optimized crystal structure of NaInSn, computed with PBE-GGA.

Cell: 5.326 5.326 6.496 Å, 90.00 90.00 120.00°
Positions (direct):
1 In 0.333 0.667 0.750
2 In 0.667 0.333 0.250
3 Sn 0.667 0.333 0.750
4 Sn 0.333 0.667 0.250
5 Na 0.000 0.000 0.000
6 Na 0.000 0.000 0.500

## Properties
Theoretical density: 5.34 g cm⁻³
E_form: -0.14 eV per atom
V: 160 Å³ per cell
Calculated total energy: -2.827 eV per atom



9.
An optimized crystal structure of Y3Er5Tl2, computed with PBE-GGA.

Cell: 6.390 10.485 10.485 Å, 94.23 72.26 72.26°
Positions (direct):
1 Er 0.498 0.252 0.252
2 Er 0.250 0.500 0.500
3 Er 0.385 0.780 0.450
4 Er 0.998 0.252 0.252
5 Er 0.750 0.500 0.500
6 Er 0.502 0.748 0.748
7 Er 0.002 0.748 0.748
8 Er 0.885 0.450 0.780
9 Er 0.115 0.550 0.220
10 Er 0.615 0.220 0.550
11 Y 0.119 0.107 0.655
12 Y 0.750 0.000 0.000
13 Y 0.381 0.345 0.893
14 Y 0.619 0.655 0.107
15 Y 0.250 0.000 0.000
16 Y 0.881 0.893 0.345
17 Tl 0.133 0.721 0.012
18 Tl 0.633 0.012 0.721
19 Tl 0.867 0.279 0.988
20 Tl 0.367 0.988 0.279

## Properties
Theoretical density: 8.01 g cm⁻³
E_form: 0.12 eV per atom
V: 626 Å³ per cell
Calculated total energy: -4.574 eV per atom



10.
An optimized crystal structure of Mg3Ta2, computed with PBE-GGA.

Cell: 13.047 13.047 13.047 Å, 13.02 13.02 13.02°
Positions (direct):
1 Ta 0.400 0.400 0.400
2 Ta 0.600 0.600 0.600
3 Mg 0.201 0.201 0.201
4 Mg 0.799 0.799 0.799
5 Mg 0.000 0.000 0.000

## Properties
Theoretical density: 7.36 g cm⁻³
E_form: 0.28 eV per atom
Distance to the lowest polymorph of the same formula: 0.00 eV per formula unit
V: 98 Å³ per cell
Calculated total energy: -5.421 eV per atom



11.
An optimized crystal structure of Li3Er3SbS8, computed with PBE-GGA.

Cell: 7.752 7.752 7.624 Å, 120.58 90.00 120.00°
Positions (direct):
1 Li 0.500 0.500 0.000
2 Li 0.000 0.500 0.000
3 Li 0.000 0.000 0.000
4 Er 0.000 0.500 0.500
5 Er 0.500 0.500 0.500
6 Er 0.500 0.000 0.500
7 S 0.251 0.502 0.253
8 S 0.243 0.001 0.743
9 S 0.242 0.999 0.257
10 S 0.749 0.498 0.747
11 S 0.757 0.515 0.257
12 S 0.758 0.001 0.743
13 S 0.243 0.485 0.743
14 S 0.757 0.999 0.257
15 Sb 0.000 0.000 0.500

## Properties
Theoretical density: 4.66 g cm⁻³
Raw formation energy: -1505 meV/atom
V: 321 Å³ per cell
Calculated total energy: -5.276 eV per atom



12.
An optimized crystal structure of CaBe2Cu, computed with PBE-GGA.

Cell: 4.349 4.349 4.349 Å, 60.00 60.00 60.00°
Positions (direct):
1 Ca 0.000 0.000 0.000
2 Be 0.750 0.750 0.750
3 Be 0.250 0.250 0.250
4 Cu 0.500 0.500 0.500

## Properties
Theoretical density: 3.47 g cm⁻³
E_form: 0.41 eV per atom
Distance to the lowest polymorph of the same formula: 1.73 eV per formula unit
V: 58 Å³ per cell
Calculated total energy: -2.978 eV per atom



Number 1: magnetization 0.00 μB per formula unit. Number 2: magnetization 0.00 μB per formula unit. Number 3: magnetization 0.00 μB per formula unit. Number 4: magnetization 0.00 μB per formula unit. Number 5: magnetization 0.00 μB per formula unit. Number 6: magnetization 0.00 μB per formula unit. Number 7: magnetization 0.00 μB per formula unit. Number 8: magnetization 0.00 μB per formula unit. Number 9: magnetization 0.00 μB per formula unit. Number 10: magnetization 0.00 μB per formula unit. Number 11: magnetization 0.00 μB per formula unit. Number 12: magnetization 0.00 μB per formula unit.